# 1
# Al2V3 | Alexandria via LeMat-Bulk | GGA-PBE | relaxed
# Calculated formation energy   0 meV/atom
# Total DFT energy (no corrections)   -6.968 eV/atom
# Crystal system   orthorhombic
data_Al2V3
_chemical_formula_sum 'Al8 V12'
_cell_length_a 10.144
_cell_length_b 3.123
_cell_length_c 9.417
_cell_angle_alpha 90.00
_cell_angle_beta 90.00
_cell_angle_gamma 90.00
_space_group_name_H-M_alt 'P n m a'
_space_group_IT_number 62
_space_group_name_Hall '-P 2ac 2n'
loop_
_atom_site_label
_atom_site_type_symbol
_atom_site_fract_x
_atom_site_fract_y
_atom_site_fract_z
Al1 Al 0.117 0.250 0.197
Al2 Al 0.232 0.250 0.504
V1 V 0.029 0.750 0.403
V2 V 0.063 0.250 0.918
V3 V 0.131 0.750 0.727

***

# 2
# InSnAs2 | Alexandria via LeMat-Bulk | GGA-PBE | relaxed
# Polymorph energy (0 for the lowest one)   0.0153 eV/atom
# Calculated formation energy   -44 meV/atom
# Total DFT energy (no corrections)   -4.054 eV/atom
# Crystal system   orthorhombic
data_InSnAs2
_chemical_formula_sum 'In4 Sn4 As8'
_cell_length_a 6.940
_cell_length_b 4.105
_cell_length_c 16.158
_cell_angle_alpha 90.00
_cell_angle_beta 90.00
_cell_angle_gamma 90.00
_space_group_name_H-M_alt 'P n m a'
_space_group_IT_number 62
_space_group_name_Hall '-P 2ac 2n'
loop_
_atom_site_label
_atom_site_type_symbol
_atom_site_fract_x
_atom_site_fract_y
_atom_site_fract_z
In1 In 0.186 0.250 0.168
Sn1 Sn 0.190 0.750 0.428
As1 As 0.201 0.750 0.827
As2 As 0.202 0.250 0.570

***

# 3
# TaTlOs2 | Alexandria via LeMat-Bulk | GGA-PBE | relaxed
# Polymorph energy (0 for the lowest one)   0.0858 eV/atom
# Calculated formation energy   367 meV/atom
# Total DFT energy (no corrections)   -8.803 eV/atom
# Crystal system   cubic
data_TaTlOs2
_chemical_formula_sum 'Ta4 Tl4 Os8'
_cell_length_a 6.466
_cell_length_b 6.466
_cell_length_c 6.466
_cell_angle_alpha 90.00
_cell_angle_beta 90.00
_cell_angle_gamma 90.00
_space_group_name_H-M_alt 'F m -3 m'
_space_group_IT_number 225
_space_group_name_Hall '-F 4 2 3'
loop_
_atom_site_label
_atom_site_type_symbol
_atom_site_fract_x
_atom_site_fract_y
_atom_site_fract_z
Ta1 Ta 0.000 0.000 0.000
Tl1 Tl 0.000 0.000 0.500
Os1 Os 0.250 0.250 0.250

***

# 4
# Y8HoEr2 | Alexandria via LeMat-Bulk | GGA-PBE | relaxed
# Polymorph energy (0 for the lowest one)   0.0000 eV/atom
# Calculated formation energy   162 meV/atom
# Total DFT energy (no corrections)   -5.784 eV/atom
# Crystal system   monoclinic
data_Y8HoEr2
_chemical_formula_sum 'Y16 Ho2 Er4'
_cell_length_a 9.029
_cell_length_b 16.239
_cell_length_c 5.879
_cell_angle_alpha 90.00
_cell_angle_beta 124.11
_cell_angle_gamma 90.00
_space_group_name_H-M_alt 'C 1 2/m 1'
_space_group_IT_number 12
_space_group_name_Hall '-C 2y'
loop_
_atom_site_label
_atom_site_type_symbol
_atom_site_fract_x
_atom_site_fract_y
_atom_site_fract_z
Y1 Y 0.000 0.205 0.000
Y2 Y 0.070 0.500 0.793
Y3 Y 0.218 0.119 0.680
Ho1 Ho 0.000 0.000 0.000
Er1 Er 0.000 0.309 0.500

***

# 5
# Rb2LaSbS4 | Alexandria via LeMat-Bulk | GGA-PBE | relaxed
# Raw formation energy   -1245 meV per atom
# Total DFT energy (no corrections)   -4.682 eV/atom
# Crystal system   orthorhombic
data_Rb2LaSbS4
_chemical_formula_sum 'Rb8 La4 Sb4 S16'
_cell_length_a 8.624
_cell_length_b 8.813
_cell_length_c 12.313
_cell_angle_alpha 90.00
_cell_angle_beta 90.00
_cell_angle_gamma 90.00
_space_group_name_H-M_alt 'I m m a'
_space_group_IT_number 74
_space_group_name_Hall '-I 2b 2'
loop_
_atom_site_label
_atom_site_type_symbol
_atom_site_fract_x
_atom_site_fract_y
_atom_site_fract_z
Rb1 Rb 0.000 0.000 0.000
Rb2 Rb 0.250 0.250 0.250
La1 La 0.000 0.000 0.500
Sb1 Sb 0.250 0.250 0.750
S1 S 0.000 0.038 0.736
S2 S 0.220 0.250 0.521

***

# 6
# CaAc2TlNi | Alexandria via LeMat-Bulk | GGA-PBE | relaxed
# Calculated formation energy   -177 meV/atom
# Total DFT energy (no corrections)   -3.850 eV/atom
# Crystal system   tetragonal
data_CaAc2TlNi
_chemical_formula_sum 'Ca1 Ac2 Tl1 Ni1'
_cell_length_a 5.606
_cell_length_b 5.606
_cell_length_c 5.493
_cell_angle_alpha 90.00
_cell_angle_beta 90.00
_cell_angle_gamma 90.00
_space_group_name_H-M_alt 'P 4/m m m'
_space_group_IT_number 123
_space_group_name_Hall '-P 4 2'
loop_
_atom_site_label
_atom_site_type_symbol
_atom_site_fract_x
_atom_site_fract_y
_atom_site_fract_z
Ca1 Ca 0.000 0.000 0.000
Ac1 Ac 0.000 0.500 0.500
Tl1 Tl 0.500 0.500 0.000
Ni1 Ni 0.000 0.000 0.500

***

# 7
# TaSiOs2 | Alexandria via LeMat-Bulk | GGA-PBE | relaxed
# Raw formation energy   -177 meV per atom
# Total DFT energy (no corrections)   -10.111 eV/atom
# Crystal system   orthorhombic
data_TaSiOs2
_chemical_formula_sum 'Ta2 Si2 Os4'
_cell_length_a 5.893
_cell_length_b 6.583
_cell_length_c 3.052
_cell_angle_alpha 90.00
_cell_angle_beta 90.00
_cell_angle_gamma 90.00
_space_group_name_H-M_alt 'C m m m'
_space_group_IT_number 65
_space_group_name_Hall '-C 2 2'
loop_
_atom_site_label
_atom_site_type_symbol
_atom_site_fract_x
_atom_site_fract_y
_atom_site_fract_z
Ta1 Ta 0.000 0.000 0.000
Si1 Si 0.000 0.500 0.000
Os1 Os 0.250 0.250 0.500

***

# 8
# TbErRhPb | Alexandria via LeMat-Bulk | GGA-PBE | relaxed
# Polymorph energy (0 for the lowest one)   0.1698 eV/atom
# Calculated formation energy   -520 meV/atom
# Total DFT energy (no corrections)   -5.583 eV/atom
# Crystal system   cubic
data_TbErRhPb
_chemical_formula_sum 'Tb4 Er4 Rh4 Pb4'
_cell_length_a 7.263
_cell_length_b 7.263
_cell_length_c 7.263
_cell_angle_alpha 90.00
_cell_angle_beta 90.00
_cell_angle_gamma 90.00
_space_group_name_H-M_alt 'F -4 3 m'
_space_group_IT_number 216
_space_group_name_Hall 'F -4 2 3'
loop_
_atom_site_label
_atom_site_type_symbol
_atom_site_fract_x
_atom_site_fract_y
_atom_site_fract_z
Tb1 Tb 0.000 0.000 0.000
Er1 Er 0.000 0.000 0.500
Rh1 Rh 0.250 0.250 0.750
Pb1 Pb 0.250 0.250 0.250

***

# 9
# YTaFeRu | Alexandria via LeMat-Bulk | GGA-PBE | relaxed
# Calculated formation energy   -84 meV/atom
# Total DFT energy (no corrections)   -9.098 eV/atom
# Crystal system   cubic
data_YTaFeRu
_chemical_formula_sum 'Y4 Ta4 Fe4 Ru4'
_cell_length_a 6.464
_cell_length_b 6.464
_cell_length_c 6.464
_cell_angle_alpha 90.00
_cell_angle_beta 90.00
_cell_angle_gamma 90.00
_space_group_name_H-M_alt 'F -4 3 m'
_space_group_IT_number 216
_space_group_name_Hall 'F -4 2 3'
loop_
_atom_site_label
_atom_site_type_symbol
_atom_site_fract_x
_atom_site_fract_y
_atom_site_fract_z
Y1 Y 0.000 0.000 0.000
Ta1 Ta 0.000 0.000 0.500
Fe1 Fe 0.250 0.250 0.750
Ru1 Ru 0.250 0.250 0.250

***

# 10
# LaYSi2 | Alexandria via LeMat-Bulk | GGA-PBE | relaxed
# Polymorph energy (0 for the lowest one)   0.5420 eV/atom
# Raw formation energy   -225 meV per atom
# Total DFT energy (no corrections)   -5.785 eV/atom
# Crystal system   tetragonal
data_LaYSi2
_chemical_formula_sum 'La1 Y1 Si2'
_cell_length_a 3.406
_cell_length_b 3.406
_cell_length_c 8.280
_cell_angle_alpha 90.00
_cell_angle_beta 90.00
_cell_angle_gamma 90.00
_space_group_name_H-M_alt 'P 4 m m'
_space_group_IT_number 99
_space_group_name_Hall 'P 4 -2'
loop_
_atom_site_label
_atom_site_type_symbol
_atom_site_fract_x
_atom_site_fract_y
_atom_site_fract_z
La1 La 0.000 0.000 0.000
Y1 Y 0.500 0.500 0.607
Si1 Si 0.000 0.000 0.373
Si2 Si 0.500 0.500 0.256

***

# 11
# CaTl2Cl | Alexandria via LeMat-Bulk | GGA-PBE | relaxed
# Polymorph energy (0 for the lowest one)   0.2906 eV/atom
# Raw formation energy   -547 meV per atom
# Total DFT energy (no corrections)   -2.693 eV/atom
# Crystal system   orthorhombic
data_CaTl2Cl
_chemical_formula_sum 'Ca2 Tl4 Cl2'
_cell_length_a 6.167
_cell_length_b 10.373
_cell_length_c 3.795
_cell_angle_alpha 90.00
_cell_angle_beta 90.00
_cell_angle_gamma 90.00
_space_group_name_H-M_alt 'C m m m'
_space_group_IT_number 65
_space_group_name_Hall '-C 2 2'
loop_
_atom_site_label
_atom_site_type_symbol
_atom_site_fract_x
_atom_site_fract_y
_atom_site_fract_z
Ca1 Ca 0.000 0.000 0.000
Tl1 Tl 0.250 0.250 0.500
Cl1 Cl 0.000 0.500 0.000

***

# 12
# SrNp4S8 | Alexandria via LeMat-Bulk | GGA-PBE | relaxed
# Raw formation energy   -1448 meV per atom
# Total DFT energy (no corrections)   -8.099 eV/atom
# Crystal system   monoclinic
data_SrNp4S8
_chemical_formula_sum 'Sr2 Np8 S16'
_cell_length_a 13.854
_cell_length_b 8.033
_cell_length_c 9.813
_cell_angle_alpha 90.00
_cell_angle_beta 133.91
_cell_angle_gamma 90.00
_space_group_name_H-M_alt 'C 1 2/m 1'
_space_group_IT_number 12
_space_group_name_Hall '-C 2y'
loop_
_atom_site_label
_atom_site_type_symbol
_atom_site_fract_x
_atom_site_fract_y
_atom_site_fract_z
Sr1 Sr 0.000 0.000 0.000
Np1 Np 0.000 0.253 0.500
Np2 Np 0.228 0.500 0.459
S1 S 0.000 0.000 0.313
S2 S 0.026 0.500 0.709
S3 S 0.232 0.230 0.298